A plane-wave DFT calculation with GGA+U was carried out for an optimized crystal structure of Ni2HPbO.

Structure (extended XYZ):
```
5
Lattice="3.6428 0.0000 0.0000 0.0000 3.6428 0.0000 0.0000 0.0000 5.2100" Properties=species:S:1:pos:R:3 pbc="T T T"
Ni 0.0000 1.8214 0.0000
Ni 1.8214 0.0000 0.0000
H 0.0000 0.0000 2.6050
Pb 1.8214 1.8214 2.6050
O 0.0000 0.0000 0.0000
```

Values from the calculation:
symmetry	No. 123
DOS at the Fermi energy	0.561	states/eV per cell
size of the total moment	1.126	μB per formula unit
density	8.20	g/cm3
raw total energy	-0.1129	Ha/atom